--- A ---
! Fe3HgCl | the Alexandria database | SCAN | single point on PBEsol structure; values from VASP
&SYSTEM
  ibrav = 0, nat = 5, ntyp = 3
/
ATOMIC_SPECIES
Fe 55.84 Fe.upf
Hg 200.59 Hg.upf
Cl 35.45 Cl.upf
CELL_PARAMETERS angstrom
4.113 0.000 0.000
0.000 4.113 0.000
0.000 0.000 4.113
ATOMIC_POSITIONS crystal
Fe 0.000 0.000 0.500
Fe 0.000 0.500 0.000
Fe 0.500 0.000 0.000
Hg 0.500 0.500 0.500
Cl 0.000 0.000 0.000
! Size of the total moment ... 6.20 μB/f.u.


--- B ---
! Fe3HgCl | the Alexandria database | SCAN | single point on PBEsol structure; values from VASP
&SYSTEM
  ibrav = 0, nat = 5, ntyp = 3
/
ATOMIC_SPECIES
Fe 55.84 Fe.upf
Hg 200.59 Hg.upf
Cl 35.45 Cl.upf
CELL_PARAMETERS angstrom
4.884 0.000 0.000
0.000 4.884 0.000
0.000 0.000 4.884
ATOMIC_POSITIONS crystal
Fe 0.000 0.000 0.500
Fe 0.000 0.500 0.000
Fe 0.500 0.000 0.000
Hg 0.000 0.000 0.000
Cl 0.500 0.500 0.500
! Size of the total moment ... 11.08 μB/f.u.


So which one wins? Going from most stable to least: A, B.


--- A ---
! InFe2Cl | the Alexandria database | SCAN | single point on PBEsol structure; values from VASP
&SYSTEM
  ibrav = 0, nat = 8, ntyp = 3
/
ATOMIC_SPECIES
In 114.82 In.upf
Fe 55.84 Fe.upf
Cl 35.45 Cl.upf
CELL_PARAMETERS angstrom
2.973 0.000 0.000
0.000 4.441 0.000
0.000 0.000 10.568
ATOMIC_POSITIONS crystal
In 0.000 0.000 0.000
In 0.500 0.500 0.500
Fe 0.000 0.000 0.468
Fe 0.000 0.500 0.138
Fe 0.500 0.000 0.638
Fe 0.500 0.500 0.968
Cl 0.000 0.500 0.778
Cl 0.500 0.000 0.278
! Size of the total moment ... 5.59 μB/f.u.


--- B ---
! InFe2Cl | the Alexandria database | SCAN | single point on PBEsol structure; values from VASP
&SYSTEM
  ibrav = 0, nat = 8, ntyp = 3
/
ATOMIC_SPECIES
In 114.82 In.upf
Fe 55.84 Fe.upf
Cl 35.45 Cl.upf
CELL_PARAMETERS angstrom
11.534 0.000 0.000
0.000 2.995 0.000
-0.004 0.000 4.490
ATOMIC_POSITIONS crystal
In 0.000 0.000 0.000
In 0.500 0.500 0.000
Fe 0.028 0.500 0.500
Fe 0.380 0.500 0.500
Fe 0.528 0.000 0.500
Fe 0.880 0.000 0.500
Cl 0.222 0.000 0.501
Cl 0.722 0.500 0.501
! Size of the total moment ... 5.32 μB/f.u.


So which one wins? Going from most stable to least: B, A.


--- A ---
! KFe2Cl | the Alexandria database | SCAN | single point on PBEsol structure; values from VASP
&SYSTEM
  ibrav = 0, nat = 16, ntyp = 3
/
ATOMIC_SPECIES
K 39.10 K.upf
Fe 55.84 Fe.upf
Cl 35.45 Cl.upf
CELL_PARAMETERS angstrom
6.684 0.000 0.000
0.000 6.684 0.000
0.000 0.000 6.684
ATOMIC_POSITIONS crystal
K 0.000 0.000 0.000
K 0.000 0.500 0.500
K 0.500 0.000 0.500
K 0.500 0.500 0.000
Fe 0.250 0.250 0.250
Fe 0.250 0.250 0.750
Fe 0.250 0.750 0.250
Fe 0.250 0.750 0.750
Fe 0.750 0.250 0.250
Fe 0.750 0.250 0.750
Fe 0.750 0.750 0.250
Fe 0.750 0.750 0.750
Cl 0.000 0.000 0.500
Cl 0.000 0.500 0.000
Cl 0.500 0.000 0.000
Cl 0.500 0.500 0.500
! Size of the total moment ... 6.73 μB/f.u.


--- B ---
! KFe2Cl | the Alexandria database | SCAN | single point on PBEsol structure; values from VASP
&SYSTEM
  ibrav = 0, nat = 8, ntyp = 3
/
ATOMIC_SPECIES
K 39.10 K.upf
Fe 55.84 Fe.upf
Cl 35.45 Cl.upf
CELL_PARAMETERS angstrom
3.092 0.000 0.000
0.000 3.262 0.000
0.000 0.000 14.999
ATOMIC_POSITIONS crystal
K 0.000 0.000 0.000
K 0.000 0.500 0.500
Fe 0.000 0.000 0.758
Fe 0.000 0.500 0.258
Fe 0.500 0.000 0.322
Fe 0.500 0.500 0.822
Cl 0.500 0.000 0.631
Cl 0.500 0.500 0.131
! Size of the total moment ... 5.85 μB/f.u.


--- C ---
! KFe2Cl | the Alexandria database | SCAN | single point on PBEsol structure; values from VASP
&SYSTEM
  ibrav = 0, nat = 8, ntyp = 3
/
ATOMIC_SPECIES
K 39.10 K.upf
Fe 55.84 Fe.upf
Cl 35.45 Cl.upf
CELL_PARAMETERS angstrom
11.472 0.000 0.000
0.000 2.919 0.000
-1.898 0.000 4.989
ATOMIC_POSITIONS crystal
K 0.000 0.000 0.000
K 0.500 0.500 0.000
Fe 0.202 0.000 0.596
Fe 0.298 0.500 0.404
Fe 0.702 0.500 0.596
Fe 0.798 0.000 0.404
Cl 0.000 0.500 0.500
Cl 0.500 0.000 0.500
! Size of the total moment ... 6.13 μB/f.u.


--- D ---
! KFe2Cl | the Alexandria database | SCAN | single point on PBEsol structure; values from VASP
&SYSTEM
  ibrav = 0, nat = 8, ntyp = 3
/
ATOMIC_SPECIES
K 39.10 K.upf
Fe 55.84 Fe.upf
Cl 35.45 Cl.upf
CELL_PARAMETERS angstrom
3.092 0.000 0.000
0.000 6.121 0.000
0.000 0.000 9.338
ATOMIC_POSITIONS crystal
K 0.000 0.000 0.000
K 0.500 0.500 0.500
Fe 0.000 0.000 0.522
Fe 0.000 0.500 0.864
Fe 0.500 0.000 0.364
Fe 0.500 0.500 0.022
Cl 0.000 0.500 0.201
Cl 0.500 0.000 0.701
! Size of the total moment ... 3.98 μB/f.u.


So which one wins? Going from most stable to least: B, C, D, A.


--- A ---
! KFeCl | the Alexandria database | SCAN | single point on PBEsol structure; values from VASP
&SYSTEM
  ibrav = 0, nat = 12, ntyp = 3
/
ATOMIC_SPECIES
K 39.10 K.upf
Fe 55.84 Fe.upf
Cl 35.45 Cl.upf
CELL_PARAMETERS angstrom
4.086 0.000 0.000
0.000 4.977 0.000
0.000 0.000 12.790
ATOMIC_POSITIONS crystal
K 0.000 0.000 0.000
K 0.000 0.500 0.500
K 0.500 0.000 0.500
K 0.500 0.500 0.000
Fe 0.000 0.000 0.285
Fe 0.000 0.500 0.785
Fe 0.500 0.000 0.785
Fe 0.500 0.500 0.285
Cl 0.000 0.000 0.674
Cl 0.000 0.500 0.174
Cl 0.500 0.000 0.174
Cl 0.500 0.500 0.674
! Size of the total moment ... 3.19 μB/f.u.


--- B ---
! KFeCl | the Alexandria database | SCAN | single point on PBEsol structure; values from VASP
&SYSTEM
  ibrav = 0, nat = 3, ntyp = 3
/
ATOMIC_SPECIES
K 39.10 K.upf
Fe 55.84 Fe.upf
Cl 35.45 Cl.upf
CELL_PARAMETERS angstrom
3.389 0.000 0.000
-1.695 2.935 0.000
0.000 0.000 6.658
ATOMIC_POSITIONS crystal
K 0.000 0.000 0.000
Fe 0.333 0.667 0.426
Cl 0.667 0.333 0.649
! Size of the total moment ... 3.05 μB/f.u.


So which one wins? Going from most stable to least: A, B.


--- A ---
! La2FeCl | the Alexandria database | SCAN | single point on PBEsol structure; values from VASP
&SYSTEM
  ibrav = 0, nat = 4, ntyp = 3
/
ATOMIC_SPECIES
La 138.91 La.upf
Fe 55.84 Fe.upf
Cl 35.45 Cl.upf
CELL_PARAMETERS angstrom
5.101 0.000 0.000
0.000 5.101 0.000
0.000 0.000 3.359
ATOMIC_POSITIONS crystal
La 0.000 0.500 0.000
La 0.500 0.000 0.000
Fe 0.000 0.000 0.500
Cl 0.500 0.500 0.500
! Size of the total moment ... 1.53 μB/f.u.


--- B ---
! La2FeCl | the Alexandria database | SCAN | single point on PBEsol structure; values from VASP
&SYSTEM
  ibrav = 0, nat = 4, ntyp = 3
/
ATOMIC_SPECIES
La 138.91 La.upf
Fe 55.84 Fe.upf
Cl 35.45 Cl.upf
CELL_PARAMETERS angstrom
4.113 0.000 0.000
0.000 4.113 0.000
0.000 0.000 5.685
ATOMIC_POSITIONS crystal
La 0.000 0.000 0.000
La 0.500 0.500 0.439
Fe 0.500 0.500 0.059
Cl 0.000 0.000 0.501
! Size of the total moment ... 0.00 μB/f.u.


So which one wins? Going from most stable to least: B, A.


--- A ---
! Li2FeCl | the Alexandria database | SCAN | single point on PBEsol structure; values from VASP
&SYSTEM
  ibrav = 0, nat = 12, ntyp = 3
/
ATOMIC_SPECIES
Li 6.94 Li.upf
Fe 55.84 Fe.upf
Cl 35.45 Cl.upf
CELL_PARAMETERS angstrom
3.009 0.000 0.000
-1.505 2.606 0.000
0.000 0.000 23.328
ATOMIC_POSITIONS crystal
Li 0.000 0.000 0.235
Li 0.000 0.000 0.765
Li 0.333 0.667 0.432
Li 0.333 0.667 0.902
Li 0.667 0.333 0.098
Li 0.667 0.333 0.568
Fe 0.000 0.000 0.000
Fe 0.333 0.667 0.667
Fe 0.667 0.333 0.333
Cl 0.000 0.000 0.500
Cl 0.333 0.667 0.167
Cl 0.667 0.333 0.833
! Size of the total moment ... 3.01 μB/f.u.


--- B ---
! Li2FeCl | the Alexandria database | SCAN | single point on PBEsol structure; values from VASP
&SYSTEM
  ibrav = 0, nat = 8, ntyp = 3
/
ATOMIC_SPECIES
Li 6.94 Li.upf
Fe 55.84 Fe.upf
Cl 35.45 Cl.upf
CELL_PARAMETERS angstrom
6.148 0.000 0.000
0.000 6.172 0.000
0.000 0.000 3.112
ATOMIC_POSITIONS crystal
Li 0.250 0.250 0.000
Li 0.250 0.750 0.000
Li 0.750 0.250 0.000
Li 0.750 0.750 0.000
Fe 0.000 0.000 0.500
Fe 0.500 0.500 0.500
Cl 0.000 0.500 0.500
Cl 0.500 0.000 0.500
! Size of the total moment ... 2.99 μB/f.u.


--- C ---
! Li2FeCl | the Alexandria database | SCAN | single point on PBEsol structure; values from VASP
&SYSTEM
  ibrav = 0, nat = 16, ntyp = 3
/
ATOMIC_SPECIES
Li 6.94 Li.upf
Fe 55.84 Fe.upf
Cl 35.45 Cl.upf
CELL_PARAMETERS angstrom
6.659 0.000 0.000
0.000 6.659 0.000
0.000 0.000 6.203
ATOMIC_POSITIONS crystal
Li 0.205 0.750 0.125
Li 0.250 0.205 0.875
Li 0.250 0.295 0.375
Li 0.295 0.750 0.625
Li 0.705 0.250 0.625
Li 0.750 0.705 0.375
Li 0.750 0.795 0.875
Li 0.795 0.250 0.125
Fe 0.000 0.000 0.500
Fe 0.000 0.500 0.750
Fe 0.500 0.000 0.250
Fe 0.500 0.500 0.000
Cl 0.000 0.000 0.000
Cl 0.000 0.500 0.250
Cl 0.500 0.000 0.750
Cl 0.500 0.500 0.500
! Size of the total moment ... 3.02 μB/f.u.


So which one wins? Going from most stable to least: A, B, C.